[1]
The following is a DFT calculation (PBE) of a relaxed structure of Li2Nd2YGa2.

The structure in POSCAR format:
```
Li2Nd2YGa2
1.0
2.3167 1.3375 9.0035
-2.3167 1.3375 9.0035
0.0000 -2.6751 9.0035
Li Nd Y Ga
2 2 1 2
direct
0.1100 0.1100 0.1100 Li
0.8900 0.8900 0.8900 Li
0.3745 0.3745 0.3745 Nd
0.6255 0.6255 0.6255 Nd
0.5000 0.5000 0.5000 Y
0.2334 0.2334 0.2334 Ga
0.7666 0.7666 0.7666 Ga
```

## Properties
- VASP energy (eV per atom) = -3.990
- magnetic moment (μB/atom) = 0.00
- energy relative to the elements (eV/f.u.) = -2.052
- ρ (g cm⁻³) = 5.26



[2]
The following is a DFT calculation (PBE) of a relaxed structure of LiNdYGa.

The structure in POSCAR format:
```
LiNdYGa
1.0
0.0000 3.6700 3.6700
3.6700 0.0000 3.6700
3.6700 3.6700 0.0000
Li Nd Y Ga
1 1 1 1
direct
0.0000 0.0000 0.0000 Li
0.7500 0.7500 0.7500 Nd
0.2500 0.2500 0.2500 Y
0.5000 0.5000 0.5000 Ga
```

## Properties
- VASP energy (eV per atom) = -4.360
- magnetic moment (μB/atom) = 0.00
- energy relative to the elements (eV/f.u.) = -1.267
- ρ (g cm⁻³) = 5.20



[3]
The following is a DFT calculation (PBE) of a relaxed structure of LiNdZnGa.

The structure in POSCAR format:
```
LiNdZnGa
1.0
0.0000 3.4691 3.4691
3.4691 0.0000 3.4691
3.4691 3.4691 0.0000
Li Nd Zn Ga
1 1 1 1
direct
0.0000 0.0000 0.0000 Li
0.5000 0.5000 0.5000 Nd
0.7500 0.7500 0.7500 Zn
0.2500 0.2500 0.2500 Ga
```

## Properties
- VASP energy (eV per atom) = -3.119
- magnetic moment (μB/atom) = 0.00
- energy relative to the elements (eV/f.u.) = -1.494
- ρ (g cm⁻³) = 5.69



[4]
The following is a DFT calculation (PBE) of a relaxed structure of LiNd2ZnGa6.

The structure in POSCAR format:
```
LiNd2ZnGa6
1.0
3.1903 1.8419 11.4815
-3.1903 1.8419 11.4815
0.0000 -3.6838 11.4815
Li Nd Zn Ga
2 4 2 12
direct
0.0000 0.0000 0.0000 Li
0.5000 0.5000 0.5000 Li
0.1077 0.1077 0.1077 Nd
0.2846 0.2846 0.2846 Nd
0.7154 0.7154 0.7154 Nd
0.8923 0.8923 0.8923 Nd
0.4279 0.4279 0.4279 Zn
0.5721 0.5721 0.5721 Zn
0.0699 0.6672 0.6672 Ga
0.2234 0.2234 0.6566 Ga
0.2234 0.6566 0.2234 Ga
0.3328 0.3328 0.9301 Ga
0.3328 0.9301 0.3328 Ga
0.3434 0.7766 0.7766 Ga
0.6566 0.2234 0.2234 Ga
0.6672 0.0699 0.6672 Ga
0.6672 0.6672 0.0699 Ga
0.7766 0.3434 0.7766 Ga
0.7766 0.7766 0.3434 Ga
0.9301 0.3328 0.3328 Ga
```

## Properties
- VASP energy (eV per atom) = -3.408
- magnetic moment (μB/atom) = 0.00
- energy relative to the elements (eV/f.u.) = -3.199
- ρ (g cm⁻³) = 6.39



[5]
The following is a DFT calculation (PBE) of a relaxed structure of LiNd2Zn4Ga3.

The structure in POSCAR format:
```
LiNd2Zn4Ga3
1.0
4.2773 0.0000 0.0000
0.0000 4.2773 0.0000
0.0000 0.0000 10.5697
Li Nd Zn Ga
1 2 4 3
direct
0.0000 0.0000 0.0000 Li
0.0000 0.5000 0.7444 Nd
0.5000 0.0000 0.2556 Nd
0.0000 0.0000 0.5000 Zn
0.0000 0.5000 0.1282 Zn
0.5000 0.0000 0.8718 Zn
0.5000 0.5000 0.5000 Zn
0.0000 0.5000 0.3614 Ga
0.5000 0.0000 0.6386 Ga
0.5000 0.5000 0.0000 Ga
```

## Properties
- VASP energy (eV per atom) = -2.991
- magnetic moment (μB/atom) = 0.00
- energy relative to the elements (eV/f.u.) = -4.283
- ρ (g cm⁻³) = 6.58



[6]
The following is a DFT calculation (PBE) of a relaxed structure of LiNd2Zn3Ga4.

The structure in POSCAR format:
```
LiNd2Zn3Ga4
1.0
4.2721 0.0000 0.0000
0.0000 4.2721 0.0000
0.0000 0.0000 10.6345
Li Nd Zn Ga
1 2 3 4
direct
0.0000 0.0000 0.0000 Li
0.0000 0.5000 0.7474 Nd
0.5000 0.0000 0.2526 Nd
0.0000 0.5000 0.3623 Zn
0.5000 0.0000 0.6377 Zn
0.5000 0.5000 0.0000 Zn
0.0000 0.0000 0.5000 Ga
0.0000 0.5000 0.1309 Ga
0.5000 0.0000 0.8691 Ga
0.5000 0.5000 0.5000 Ga
```

## Properties
- VASP energy (eV per atom) = -3.197
- magnetic moment (μB/atom) = 0.00
- energy relative to the elements (eV/f.u.) = -4.586
- ρ (g cm⁻³) = 6.59



[7]
The following is a DFT calculation (PBE) of a relaxed structure of LiNdZrGa.

The structure in POSCAR format:
```
LiNdZrGa
1.0
0.0000 3.5295 3.5295
3.5295 0.0000 3.5295
3.5295 3.5295 0.0000
Li Nd Zr Ga
1 1 1 1
direct
0.0000 0.0000 0.0000 Li
0.2500 0.2500 0.2500 Nd
0.7500 0.7500 0.7500 Zr
0.5000 0.5000 0.5000 Ga
```

## Properties
- VASP energy (eV per atom) = -4.740
- magnetic moment (μB/atom) = 0.00
- energy relative to the elements (eV/f.u.) = -0.702
- ρ (g cm⁻³) = 5.89



[8]
The following is a DFT calculation (PBE) of a relaxed structure of LiGa6Ni5.

The structure in POSCAR format:
```
LiGa6Ni5
1.0
2.0810 -6.2503 0.0000
2.0810 6.2503 0.0000
0.0000 0.0000 5.8103
Li Ga Ni
1 6 5
direct
0.0000 0.0000 0.0000 Li
0.1701 0.8299 0.2531 Ga
0.1701 0.8299 0.7469 Ga
0.5000 0.5000 0.2529 Ga
0.5000 0.5000 0.7471 Ga
0.8299 0.1701 0.2531 Ga
0.8299 0.1701 0.7469 Ga
0.0000 0.0000 0.5000 Ni
0.3367 0.6633 0.0000 Ni
0.3375 0.6625 0.5000 Ni
0.6633 0.3367 0.0000 Ni
0.6625 0.3375 0.5000 Ni
```

## Properties
- VASP energy (eV per atom) = -4.439
- magnetic moment (μB/atom) = 0.00
- energy relative to the elements (eV/f.u.) = -4.290
- ρ (g cm⁻³) = 7.90



[9]
The following is a DFT calculation (PBE) of a relaxed structure of Li5Ga2Ni.

The structure in POSCAR format:
```
Li5Ga2Ni
1.0
5.3567 0.0000 0.0000
0.0000 10.4737 0.0000
0.0000 0.0000 4.1435
Li Ga Ni
10 4 2
direct
0.0000 0.0000 0.0000 Li
0.1120 0.2514 0.0000 Li
0.1783 0.8622 0.5000 Li
0.3217 0.3622 0.5000 Li
0.3880 0.7514 0.0000 Li
0.5000 0.5000 0.0000 Li
0.6120 0.2486 0.0000 Li
0.6783 0.6378 0.5000 Li
0.8217 0.1378 0.5000 Li
0.8880 0.7486 0.0000 Li
0.1666 0.5997 0.5000 Ga
0.3334 0.0997 0.5000 Ga
0.6666 0.9003 0.5000 Ga
0.8334 0.4003 0.5000 Ga
0.0000 0.5000 0.0000 Ni
0.5000 0.0000 0.0000 Ni
```

## Properties
- VASP energy (eV per atom) = -2.902
- relative energy among the computed polymorphs (eV per atom) = 0.0000
- magnetic moment (μB/atom) = 0.00
- energy relative to the elements (eV/f.u.) = -1.809
- ρ (g cm⁻³) = 3.33



[10]
The following is a DFT calculation (PBE) of a relaxed structure of LiGa7Ni4.

The structure in POSCAR format:
```
LiGa7Ni4
1.0
5.9594 -2.1368 0.0000
5.9594 2.1368 0.0000
-5.3783 0.0000 6.8051
Li Ga Ni
1 7 4
direct
0.0000 0.0000 0.0000 Li
0.0708 0.0708 0.3417 Ga
0.2149 0.2149 0.8606 Ga
0.3463 0.3463 0.3998 Ga
0.5000 0.5000 0.0000 Ga
0.6537 0.6537 0.6002 Ga
0.7851 0.7851 0.1394 Ga
0.9292 0.9292 0.6583 Ga
0.3021 0.3021 0.6561 Ni
0.4341 0.4341 0.2109 Ni
0.5659 0.5659 0.7891 Ni
0.6979 0.6979 0.3439 Ni
```

## Properties
- VASP energy (eV per atom) = -4.088
- magnetic moment (μB/atom) = 0.00
- energy relative to the elements (eV/f.u.) = -2.823
- ρ (g cm⁻³) = 6.99



[11]
The following is a DFT calculation (PBE) of a relaxed structure of Li3Ga4Ni4.

The structure in POSCAR format:
```
Li3Ga4Ni4
1.0
-1.9791 3.2604 6.2641
1.9791 -3.2604 6.2641
1.9791 3.2604 -6.2641
Li Ga Ni
3 4 4
direct
0.0000 0.0000 0.0000 Li
0.3704 0.8704 0.5000 Li
0.6296 0.1296 0.5000 Li
0.2113 0.2113 0.0000 Ga
0.2907 0.5000 0.7907 Ga
0.7093 0.5000 0.2093 Ga
0.7887 0.7887 0.0000 Ga
0.0156 0.3197 0.6960 Ni
0.3763 0.6803 0.6960 Ni
0.6237 0.3197 0.3040 Ni
0.9844 0.6803 0.3040 Ni
```

## Properties
- VASP energy (eV per atom) = -3.977
- relative energy among the computed polymorphs (eV per atom) = 0.0000
- magnetic moment (μB/atom) = 0.00
- energy relative to the elements (eV/f.u.) = -2.773
- ρ (g cm⁻³) = 5.49



[12]
The following is a DFT calculation (PBE) of a relaxed structure of LiGa2Ni8.

The structure in POSCAR format:
```
LiGa2Ni8
1.0
3.1701 -5.6730 0.0000
3.1701 5.6730 0.0000
-2.1759 0.0000 3.6691
Li Ga Ni
1 2 8
direct
0.0000 0.0000 0.0000 Li
0.3062 0.6938 0.5000 Ga
0.6938 0.3062 0.5000 Ga
0.1029 0.3284 0.6530 Ni
0.2061 0.7939 0.0000 Ni
0.3284 0.1029 0.6530 Ni
0.4141 0.4141 0.1915 Ni
0.5859 0.5859 0.8085 Ni
0.6716 0.8971 0.3470 Ni
0.7939 0.2061 0.0000 Ni
0.8971 0.6716 0.3470 Ni
```

## Properties
- VASP energy (eV per atom) = -4.943
- relative energy among the computed polymorphs (eV per atom) = 0.0379
- magnetic moment (μB/atom) = 0.06
- energy relative to the elements (eV/f.u.) = -0.152
- ρ (g cm⁻³) = 7.75